(1)
## GaRuPtC2 (PBE)

Data for an optimized crystal structure of GaRuPtC2.

a = 3.805 Å, b = 5.628 Å, c = 3.805 Å
α = 90.00°, β = 90.00°, γ = 90.00°
Last column: magnetic moment on the atom in μB.
Fractional coordinates of all 5 atoms:
1 Ru 0.000 0.500 0.000  0.97
2 C 0.000 0.000 0.500  -0.03
3 C 0.500 0.000 0.000  -0.01
4 Ga 0.500 0.500 0.500  -0.05
5 Pt 0.000 0.000 0.000  -0.01

formation energy from the elements	1.6504	eV/atom

=====

(2)
## GaPtCSe2 (PBE)

Data for an optimized crystal structure of GaPtCSe2.

a = 5.334 Å, b = 3.750 Å, c = 5.334 Å
α = 90.00°, β = 90.00°, γ = 90.00°
Fractional coordinates of all 5 atoms:
1 C 0.000 0.500 0.000
2 Ga 0.500 0.500 0.500
3 Se 0.000 0.000 0.500
4 Se 0.500 0.000 0.000
5 Pt 0.000 0.000 0.000

ΔE_f (raw)	62	kJ per mole of atoms

=====

(3)
## GaSnPtC2 (PBE)

Data for an optimized crystal structure of GaSnPtC2.

a = 4.171 Å, b = 5.462 Å, c = 4.171 Å
α = 90.00°, β = 90.00°, γ = 90.00°
Last column: magnetic moment on the atom in μB.
Fractional coordinates of all 5 atoms:
1 C 0.000 0.000 0.500  0.28
2 C 0.500 0.000 0.000  0.43
3 Ga 0.500 0.500 0.500  0.02
4 Sn 0.000 0.000 0.000  -0.01
5 Pt 0.000 0.500 0.000  0.20

formation energy from the elements	2.0848	eV/atom

=====

(4)
## Ti2GaPtC (PBE)

Data for an optimized crystal structure of Ti2GaPtC.

a = 4.810 Å, b = 4.597 Å, c = 4.810 Å
α = 90.00°, β = 90.00°, γ = 90.00°
Fractional coordinates of all 5 atoms:
1 C 0.500 0.500 0.500
2 Ga 0.000 0.500 0.000
3 Pt 0.000 0.000 0.000
4 Ti 0.000 0.000 0.500
5 Ti 0.500 0.000 0.000

formation energy from the elements	1.3249	eV/atom

=====

(5)
## GaPtW2C (PBE)

Data for an optimized crystal structure of GaPtW2C.

a = 5.007 Å, b = 3.699 Å, c = 5.007 Å
α = 90.00°, β = 90.00°, γ = 90.00°
Fractional coordinates of all 5 atoms:
1 C 0.000 0.500 0.000
2 Ga 0.500 0.500 0.500
3 W 0.000 0.000 0.500
4 W 0.500 0.000 0.000
5 Pt 0.000 0.000 0.000

formation energy from the elements	1.9813	eV/atom

=====

(6)
## PuGaC (PBE)

Data for an optimized crystal structure of PuGaC.

a = 3.706 Å, b = 6.880 Å, c = 8.035 Å
α = 132.42°, β = 133.82°, γ = 57.44°
Last column: magnetic moment on the atom in μB.
Fractional coordinates of all 6 atoms:
1 Ga 0.587 0.340 0.784  -0.02
2 Ga 0.413 0.660 0.216  -0.02
3 Pu 0.438 0.233 0.280  4.52
4 Pu 0.562 0.767 0.720  4.52
5 C 0.021 0.975 0.164  -0.17
6 C 0.979 0.025 0.836  -0.17

formation energy from the elements	0.2448	eV/atom

=====

(7)
## PuGaC (PBE)

Data for an optimized crystal structure of PuGaC.

a = 3.128 Å, b = 3.128 Å, c = 5.898 Å
α = 105.38°, β = 105.38°, γ = 90.00°
Last column: magnetic moment on the atom in μB.
Fractional coordinates of all 3 atoms:
1 C 0.282 0.282 0.564  -0.26
2 Ga 0.998 0.998 0.995  0.03
3 Pu 0.720 0.720 0.441  4.23

formation energy from the elements	0.4781	eV/atom

=====

(8)
## PuGaC (PBE)

Data for an optimized crystal structure of PuGaC.

a = 4.014 Å, b = 4.208 Å, c = 7.326 Å
α = 103.51°, β = 90.00°, γ = 118.48°
Last column: magnetic moment on the atom in μB.
Fractional coordinates of all 6 atoms:
1 Pu 0.082 0.164 0.813  4.99
2 Pu 0.918 0.836 0.187  4.99
3 Ga 0.331 0.662 0.475  -0.04
4 Ga 0.669 0.338 0.525  -0.04
5 C 0.593 0.186 0.043  -0.05
6 C 0.407 0.814 0.957  -0.05

formation energy from the elements	-0.1648	eV/atom

=====

Taking the records one at a time from the top gives total energy values of -5.7078, -4.4132, -4.2189, -5.4914, -6.8583, -8.6161, -8.3828, -9.0257 eV per atom.
Taking the records one at a time from the top gives D(E_F) values of 4.60, 3.38, 3.28, 4.33, 5.78, 13.01, 5.40, 14.81 states/eV/cell.